SrTl2Cu | PBE | optimized geometry

## Properties
ΔH_f (0 K) in meV per atom: -30

abc: 3.662 3.662 7.765
angles: 90.00 90.00 90.00
Space group P4/mmm (No. 123)
Inequivalent atoms, fractional coordinates:
Sr: 0.000 0.000 0.000
Tl: 0.500 0.500 0.303
Cu: 0.000 0.000 0.500


BaTiCd | PBE | optimized geometry

## Properties
ΔH_f (0 K) in meV per atom: 231
Energy relative to the lowest polymorph listed for this composition in eV per atom: 0.038

abc: 3.594 6.502 8.129
angles: 81.50 77.27 89.79
Space group P-1 (No. 2)
Inequivalent atoms, fractional coordinates:
Ba: 0.100 0.358 0.297
Ti: 0.231 0.854 0.041
Cd: 0.411 0.120 0.676


Sr2InSi3Au12 | PBE | optimized geometry

## Properties
Raw total energy in eV per formula unit: -63.59

abc: 8.8875 8.8875 19.3283
angles: 90.00 90.00 120.00
Space group R-3m (No. 166, hexagonal axes)
Inequivalent atoms, fractional coordinates:
Sr: 0.0000 0.0000 0.1031
In: 0.0000 0.0000 0.5000
Si: 0.0000 0.5000 0.0000
Au: 0.0087 0.5044 0.8733
Au: 0.0329 0.5164 0.3384


So what do the calculations give for ρ? Going down the list: 8.93; 5.40; 10.32 Mg/m³.